Record 1
RbV2MoN | PBE | relaxed

The structure in CIF format:
```
data_RbV2MoN
_chemical_formula_sum 'Rb1 V2 Mo1 N1'
_symmetry_space_group_name_H-M 'P 4/m m m'
_symmetry_Int_Tables_number 123
_symmetry_space_group_name_Hall '-P 4 2'
_cell_length_a 4.546
_cell_length_b 4.546
_cell_length_c 7.254
_cell_angle_alpha 90.00
_cell_angle_beta 90.00
_cell_angle_gamma 90.00
loop_
_atom_site_label
_atom_site_type_symbol
_atom_site_fract_x
_atom_site_fract_y
_atom_site_fract_z
Rb1 Rb 0.000 0.000 0.000
V1 V 0.000 0.500 0.500
Mo1 Mo 0.000 0.000 0.500
N1 N 0.500 0.500 0.000
```

Computed properties:
- Theoretical density: 3.3 Mg/m³
- Uncorrected energy: -5.4273 eV per atom
- Calculated volume: 30.0 Å³ per atom
- ΔE_f (raw): 1083 kJ/mol of formula units
- M_tot: 5.17 μB/f.u.


Record 2
Ti3Cu2Pd4 | PBE | relaxed

The structure in CIF format:
```
data_Ti3Cu2Pd4
_chemical_formula_sum 'Ti12 Cu8 Pd16'
_symmetry_space_group_name_H-M 'C 1 2/c 1'
_symmetry_Int_Tables_number 15
_symmetry_space_group_name_Hall '-C 2yc'
_cell_length_a 12.613
_cell_length_b 9.208
_cell_length_c 4.688
_cell_angle_alpha 90.00
_cell_angle_beta 99.61
_cell_angle_gamma 90.00
loop_
_atom_site_label
_atom_site_type_symbol
_atom_site_fract_x
_atom_site_fract_y
_atom_site_fract_z
Ti1 Ti 0.000 0.127 0.250
Ti2 Ti 0.170 0.376 0.079
Cu1 Cu 0.103 0.127 0.808
Pd1 Pd 0.060 0.373 0.531
Pd2 Pd 0.212 0.121 0.362
```

Computed properties:
- Theoretical density: 8.6 Mg/m³
- Distance to the lowest polymorph of the same formula: 0 meV/atom
- Uncorrected energy: -6.3089 eV per atom
- Calculated volume: 14.9 Å³ per atom
- M_tot: 0.00 μB/f.u.


Record 3
Pm3Al | PBE | relaxed

The structure in CIF format:
```
data_Pm3Al
_chemical_formula_sum 'Pm6 Al2'
_symmetry_space_group_name_H-M 'I m m 2'
_symmetry_Int_Tables_number 44
_symmetry_space_group_name_Hall 'I 2 -2'
_cell_length_a 3.854
_cell_length_b 11.678
_cell_length_c 5.380
_cell_angle_alpha 90.00
_cell_angle_beta 90.00
_cell_angle_gamma 90.00
loop_
_atom_site_label
_atom_site_type_symbol
_atom_site_fract_x
_atom_site_fract_y
_atom_site_fract_z
Pm1 Pm 0.000 0.000 0.000
Pm2 Pm 0.000 0.214 0.502
Al1 Al 0.000 0.500 0.999
```

Computed properties:
- Theoretical density: 6.3 Mg/m³
- Distance to the lowest polymorph of the same formula: 30 meV/atom
- Uncorrected energy: -4.6540 eV per atom
- Calculated volume: 30.3 Å³ per atom
- M_tot: 0.00 μB/f.u.


Record 4
Er3Hg5S12 | PBE | relaxed

The structure in CIF format:
```
data_Er3Hg5S12
_chemical_formula_sum 'Er24 Hg40 S96'
_symmetry_space_group_name_H-M 'I a -3 d'
_symmetry_Int_Tables_number 230
_symmetry_space_group_name_Hall '-I 4bd 2c 3'
_cell_length_a 15.658
_cell_length_b 15.658
_cell_length_c 15.658
_cell_angle_alpha 90.00
_cell_angle_beta 90.00
_cell_angle_gamma 90.00
loop_
_atom_site_label
_atom_site_type_symbol
_atom_site_fract_x
_atom_site_fract_y
_atom_site_fract_z
Er1 Er 0.000 0.250 0.125
Hg1 Hg 0.000 0.000 0.000
Hg2 Hg 0.000 0.250 0.375
S1 S 0.014 0.072 0.657
```

Computed properties:
- Theoretical density: 6.5 Mg/m³
- Uncorrected energy: -3.8041 eV per atom
- Calculated volume: 24.0 Å³ per atom
- ΔE_f (raw): -1096 kJ/mol of formula units
- M_tot: 0.00 μB/f.u.


Record 5
Sc2VCd | PBE | relaxed

The structure in CIF format:
```
data_Sc2VCd
_chemical_formula_sum 'Sc2 V1 Cd1'
_symmetry_space_group_name_H-M 'P 4/m m m'
_symmetry_Int_Tables_number 123
_symmetry_space_group_name_Hall '-P 4 2'
_cell_length_a 3.444
_cell_length_b 3.444
_cell_length_c 6.991
_cell_angle_alpha 90.00
_cell_angle_beta 90.00
_cell_angle_gamma 90.00
loop_
_atom_site_label
_atom_site_type_symbol
_atom_site_fract_x
_atom_site_fract_y
_atom_site_fract_z
Sc1 Sc 0.000 0.000 0.227
V1 V 0.500 0.500 0.000
Cd1 Cd 0.500 0.500 0.500
```

Computed properties:
- Theoretical density: 5.1 Mg/m³
- Uncorrected energy: -5.7001 eV per atom
- Calculated volume: 20.7 Å³ per atom
- M_tot: 3.08 μB/f.u.


Record 6
CaNiCl2 | PBE | relaxed

The structure in CIF format:
```
data_CaNiCl2
_chemical_formula_sum 'Ca2 Ni2 Cl4'
_symmetry_space_group_name_H-M 'I m m m'
_symmetry_Int_Tables_number 71
_symmetry_space_group_name_Hall '-I 2 2'
_cell_length_a 3.865
_cell_length_b 5.491
_cell_length_c 7.156
_cell_angle_alpha 90.00
_cell_angle_beta 90.00
_cell_angle_gamma 90.00
loop_
_atom_site_label
_atom_site_type_symbol
_atom_site_fract_x
_atom_site_fract_y
_atom_site_fract_z
Ca1 Ca 0.000 0.000 0.000
Ni1 Ni 0.000 0.000 0.500
Cl1 Cl 0.000 0.500 0.209
```

Computed properties:
- Theoretical density: 3.7 Mg/m³
- Distance to the lowest polymorph of the same formula: 269 meV/atom
- Uncorrected energy: -3.7816 eV per atom
- Calculated volume: 19.0 Å³ per atom
- ΔE_f (raw): -352 kJ/mol of formula units
- M_tot: 0.00 μB/f.u.


Record 7
PmHoP2 | PBE | relaxed

The structure in CIF format:
```
data_PmHoP2
_chemical_formula_sum 'Pm1 Ho1 P2'
_symmetry_space_group_name_H-M 'P -3 m 1'
_symmetry_Int_Tables_number 164
_symmetry_space_group_name_Hall '-P 3 2"'
_cell_length_a 4.0187
_cell_length_b 4.0187
_cell_length_c 7.0434
_cell_angle_alpha 90.00
_cell_angle_beta 90.00
_cell_angle_gamma 120.00
loop_
_atom_site_label
_atom_site_type_symbol
_atom_site_fract_x
_atom_site_fract_y
_atom_site_fract_z
Pm1 Pm 0.0000 0.0000 0.0000
Ho1 Ho 0.0000 0.0000 0.5000
P1 P 0.3333 0.6667 0.7413
```

Computed properties:
- Theoretical density: 6.3 Mg/m³
- Distance to the lowest polymorph of the same formula: 205 meV/atom
- Uncorrected energy: -6.4155 eV per atom
- Calculated volume: 24.6 Å³ per atom
- M_tot: 0.00 μB/f.u.


Record 8
InRePb2 | PBE | relaxed

The structure in CIF format:
```
data_InRePb2
_chemical_formula_sum 'In1 Re1 Pb2'
_symmetry_space_group_name_H-M 'P 1 m 1'
_symmetry_Int_Tables_number 6
_symmetry_space_group_name_Hall 'P -2y'
_cell_length_a 3.217
_cell_length_b 3.350
_cell_length_c 9.219
_cell_angle_alpha 90.00
_cell_angle_beta 90.39
_cell_angle_gamma 90.00
loop_
_atom_site_label
_atom_site_type_symbol
_atom_site_fract_x
_atom_site_fract_y
_atom_site_fract_z
In1 In 0.000 0.000 0.000
Re1 Re 0.494 0.500 0.822
Pb1 Pb 0.928 0.500 0.300
Pb2 Pb 0.994 0.000 0.627
```

Computed properties:
- Theoretical density: 12.0 Mg/m³
- Distance to the lowest polymorph of the same formula: 58 meV/atom
- Uncorrected energy: -5.0774 eV per atom
- Calculated volume: 24.8 Å³ per atom
- M_tot: 0.00 μB/f.u.


Record 9
TlAgGe | PBE | relaxed

The structure in CIF format:
```
data_TlAgGe
_chemical_formula_sum 'Tl4 Ag4 Ge4'
_symmetry_space_group_name_H-M 'P n m a'
_symmetry_Int_Tables_number 62
_symmetry_space_group_name_Hall '-P 2ac 2n'
_cell_length_a 5.361
_cell_length_b 4.078
_cell_length_c 13.064
_cell_angle_alpha 90.00
_cell_angle_beta 90.00
_cell_angle_gamma 90.00
loop_
_atom_site_label
_atom_site_type_symbol
_atom_site_fract_x
_atom_site_fract_y
_atom_site_fract_z
Tl1 Tl 0.082 0.250 0.149
Ag1 Ag 0.034 0.750 0.316
Ge1 Ge 0.140 0.250 0.480
```

Computed properties:
- Theoretical density: 9.0 Mg/m³
- Uncorrected energy: -3.0464 eV per atom
- Calculated volume: 23.8 Å³ per atom
- M_tot: 0.00 μB/f.u.


Record 10
RbTa2BeF | PBE | relaxed

The structure in CIF format:
```
data_RbTa2BeF
_chemical_formula_sum 'Rb1 Ta2 Be1 F1'
_symmetry_space_group_name_H-M 'P 4/m m m'
_symmetry_Int_Tables_number 123
_symmetry_space_group_name_Hall '-P 4 2'
_cell_length_a 4.998
_cell_length_b 4.998
_cell_length_c 4.238
_cell_angle_alpha 90.00
_cell_angle_beta 90.00
_cell_angle_gamma 90.00
loop_
_atom_site_label
_atom_site_type_symbol
_atom_site_fract_x
_atom_site_fract_y
_atom_site_fract_z
Rb1 Rb 0.000 0.000 0.000
Ta1 Ta 0.000 0.500 0.000
Be1 Be 0.000 0.000 0.500
F1 F 0.500 0.500 0.500
```

Computed properties:
- Theoretical density: 7.5 Mg/m³
- Uncorrected energy: -2.9723 eV per atom
- Calculated volume: 21.2 Å³ per atom
- ΔE_f (raw): 1487 kJ/mol of formula units
- M_tot: 0.00 μB/f.u.


Record 11
YFeSi4Ni2 | PBE | relaxed

The structure in CIF format:
```
data_YFeSi4Ni2
_chemical_formula_sum 'Y3 Fe3 Si12 Ni6'
_symmetry_space_group_name_H-M 'R -3 m'
_symmetry_Int_Tables_number 166
_symmetry_space_group_name_Hall '-R 3 2"'
_cell_length_a 3.9081
_cell_length_b 3.9081
_cell_length_c 25.2477
_cell_angle_alpha 90.00
_cell_angle_beta 90.00
_cell_angle_gamma 120.00
loop_
_atom_site_label
_atom_site_type_symbol
_atom_site_fract_x
_atom_site_fract_y
_atom_site_fract_z
Y1 Y 0.0000 0.0000 0.0000
Fe1 Fe 0.0000 0.0000 0.5000
Si1 Si 0.0000 0.0000 0.1308
Si2 Si 0.0000 0.0000 0.4053
Ni1 Ni 0.0000 0.0000 0.2301
```

Computed properties:
- Theoretical density: 5.6 Mg/m³
- Uncorrected energy: -6.5597 eV per atom
- Calculated volume: 13.9 Å³ per atom
- ΔE_f (raw): -415 kJ/mol of formula units
- M_tot: 1.26 μB/f.u.


Record 12
RbAlW3 | PBE | relaxed

The structure in CIF format:
```
data_RbAlW3
_chemical_formula_sum 'Rb1 Al1 W3'
_symmetry_space_group_name_H-M 'P m -3 m'
_symmetry_Int_Tables_number 221
_symmetry_space_group_name_Hall '-P 4 2 3'
_cell_length_a 4.713
_cell_length_b 4.713
_cell_length_c 4.713
_cell_angle_alpha 90.00
_cell_angle_beta 90.00
_cell_angle_gamma 90.00
loop_
_atom_site_label
_atom_site_type_symbol
_atom_site_fract_x
_atom_site_fract_y
_atom_site_fract_z
Rb1 Rb 0.000 0.000 0.000
Al1 Al 0.500 0.500 0.500
W1 W 0.000 0.000 0.500
```

Computed properties:
- Theoretical density: 10.5 Mg/m³
- Distance to the lowest polymorph of the same formula: 1340 meV/atom
- Uncorrected energy: -4.8759 eV per atom
- Calculated volume: 20.9 Å³ per atom
- M_tot: 0.00 μB/f.u.


- Number 11 is which compound?
  YFeSi4Ni2